Computed, not measured: an optimized crystal structure of YCuTe2 at the PBE-GGA level of DFT.

Results
As for the crystal system: monoclinic. Its space group is P2/m (10). As for the total energy: -40.90 eV per cell.

Cell lengths 6.910, 4.350, 7.515 Å; angles 90.00, 90.57, 90.00 degrees
Atoms (fractional coordinates):
1 Y 0.000 0.000 0.000
2 Y 0.000 0.500 0.500
3 Cu 0.346 0.000 0.339
4 Cu 0.654 0.000 0.661
5 Te 0.263 0.000 0.675
6 Te 0.265 0.500 0.162
7 Te 0.735 0.500 0.838
8 Te 0.737 0.000 0.325

***

Computed, not measured: an optimized crystal structure of Y5Cu2Te at the PBE-GGA level of DFT.

Results
As for the crystal system: tetragonal. Its space group is I4/mcm (140). As for the total energy: -94.81 eV per cell.

Cell lengths 8.540, 8.540, 8.540 Å; angles 124.20, 124.20, 82.88 degrees
Atoms (fractional coordinates):
1 Y 0.000 0.000 0.000
2 Y 0.014 0.514 0.807
3 Y 0.207 0.014 0.500
4 Y 0.293 0.793 0.807
5 Y 0.486 0.293 0.500
6 Y 0.500 0.500 0.000
7 Y 0.514 0.707 0.500
8 Y 0.707 0.207 0.193
9 Y 0.793 0.986 0.500
10 Y 0.986 0.486 0.193
11 Cu 0.133 0.367 0.500
12 Cu 0.367 0.867 0.234
13 Cu 0.633 0.133 0.766
14 Cu 0.867 0.633 0.500
15 Te 0.250 0.250 0.000
16 Te 0.750 0.750 0.000

***

Computed, not measured: an optimized crystal structure of Y2CuTe2 at the PBE-GGA level of DFT.

Results
As for the crystal system: tetragonal. The energy above the most stable polymorph in this dataset is 0.00 eV/f.u. Its space group is P4/mbm (127).

Cell lengths 8.104, 8.104, 4.102 Å; angles 90.00, 90.00, 90.00 degrees
Atoms (fractional coordinates):
1 Y 0.152 0.348 0.000
2 Y 0.348 0.848 0.000
3 Y 0.652 0.152 0.000
4 Y 0.848 0.652 0.000
5 Cu 0.000 0.000 0.000
6 Cu 0.500 0.500 0.000
7 Te 0.151 0.651 0.500
8 Te 0.349 0.151 0.500
9 Te 0.651 0.849 0.500
10 Te 0.849 0.349 0.500

***

Computed, not measured: an optimized crystal structure of YCu2Te2 at the PBE-GGA level of DFT.

Results
As for the crystal system: tetragonal. The energy above the most stable polymorph in this dataset is 0.00 eV/f.u. Its space group is I4/mmm (139).

Cell lengths 7.737, 7.737, 7.737 Å; angles 150.88, 150.88, 41.66 degrees
Atoms (fractional coordinates):
1 Y 0.000 0.000 0.000
2 Cu 0.250 0.750 0.500
3 Cu 0.750 0.250 0.500
4 Te 0.381 0.381 0.000
5 Te 0.619 0.619 0.000

***

Computed, not measured: an optimized crystal structure of YCuTe2 at the PBE-GGA level of DFT.

Results
As for the crystal system: tetragonal. Its space group is P4/mmm (123). As for the total energy: -18.71 eV per cell.

Cell lengths 3.829, 3.829, 6.696 Å; angles 90.00, 90.00, 90.00 degrees
Atoms (fractional coordinates):
1 Y 0.000 0.000 0.000
2 Cu 0.000 0.000 0.500
3 Te 0.500 0.500 0.255
4 Te 0.500 0.500 0.745

***

Computed, not measured: an optimized crystal structure of Y2Cu2Te at the PBE-GGA level of DFT.

Results
As for the crystal system: tetragonal. The energy above the most stable polymorph in this dataset is 0.88 eV/f.u. Its space group is P4/mbm (127).

Cell lengths 7.955, 7.955, 3.933 Å; angles 90.00, 90.00, 90.00 degrees
Atoms (fractional coordinates):
1 Y 0.169 0.331 0.000
2 Y 0.331 0.831 0.000
3 Y 0.669 0.169 0.000
4 Y 0.831 0.669 0.000
5 Cu 0.111 0.611 0.500
6 Cu 0.389 0.111 0.500
7 Cu 0.611 0.889 0.500
8 Cu 0.889 0.389 0.500
9 Te 0.000 0.000 0.000
10 Te 0.500 0.500 0.000

***

Computed, not measured: an optimized crystal structure of YCuTe2 at the PBE-GGA level of DFT.

Results
As for the crystal system: orthorhombic. Its space group is Cmmm (65). As for the total energy: -18.54 eV per cell.

Cell lengths 3.822, 3.822, 7.562 Å; angles 90.00, 90.00, 107.37 degrees
Atoms (fractional coordinates):
1 Y 0.000 0.000 0.000
2 Cu 0.000 0.000 0.500
3 Te 0.500 0.500 0.265
4 Te 0.500 0.500 0.735

***

Computed, not measured: an optimized crystal structure of YCuTe2 at the PBE-GGA level of DFT.

Results
As for the crystal system: trigonal. Its space group is R-3m (166). As for the total energy: -19.73 eV per cell.

Cell lengths 7.200, 7.200, 7.200 Å; angles 34.60, 34.60, 34.60 degrees
Atoms (fractional coordinates):
1 Y 0.000 0.000 0.000
2 Cu 0.500 0.500 0.500
3 Te 0.242 0.242 0.242
4 Te 0.758 0.758 0.758

***

Computed, not measured: an optimized crystal structure of YCuTe4 at the PBE-GGA level of DFT.

Results
As for the crystal system: cubic. Its space group is F-43m (216). As for the total energy: -21.40 eV per cell.

Cell lengths 6.264, 6.264, 6.264 Å; angles 60.00, 60.00, 60.00 degrees
Atoms (fractional coordinates):
1 Y 0.000 0.000 0.000
2 Cu 0.750 0.750 0.750
3 Te 0.375 0.375 0.375
4 Te 0.375 0.375 0.875
5 Te 0.375 0.875 0.375
6 Te 0.875 0.375 0.375

***

Computed, not measured: an optimized crystal structure of Y5Cu2Te2 at the PBE-GGA level of DFT.

Results
As for the crystal system: orthorhombic. Its space group is Cmce (64). As for the total energy: -106.16 eV per cell.

Cell lengths 8.661, 8.661, 7.763 Å; angles 90.00, 90.00, 54.14 degrees
Atoms (fractional coordinates):
1 Y 0.000 0.000 0.000
2 Y 0.040 0.715 0.660
3 Y 0.215 0.540 0.160
4 Y 0.285 0.960 0.660
5 Y 0.460 0.785 0.160
6 Y 0.500 0.500 0.500
7 Y 0.540 0.215 0.840
8 Y 0.715 0.040 0.340
9 Y 0.785 0.460 0.840
10 Y 0.960 0.285 0.340
11 Cu 0.128 0.872 0.375
12 Cu 0.372 0.628 0.875
13 Cu 0.628 0.372 0.125
14 Cu 0.872 0.128 0.625
15 Te 0.206 0.206 0.000
16 Te 0.294 0.294 0.500
17 Te 0.706 0.706 0.500
18 Te 0.794 0.794 0.000

***

Computed, not measured: an optimized crystal structure of Y2Cu2Te at the PBE-GGA level of DFT.

Results
As for the crystal system: tetragonal. The energy above the most stable polymorph in this dataset is 0.00 eV/f.u. Its space group is P4/mbm (127).

Cell lengths 7.481, 7.481, 3.931 Å; angles 90.00, 90.00, 90.00 degrees
Atoms (fractional coordinates):
1 Y 0.170 0.330 0.000
2 Y 0.330 0.830 0.000
3 Y 0.670 0.170 0.000
4 Y 0.830 0.670 0.000
5 Cu 0.117 0.617 0.500
6 Cu 0.383 0.117 0.500
7 Cu 0.617 0.883 0.500
8 Cu 0.883 0.383 0.500
9 Te 0.000 0.000 0.500
10 Te 0.500 0.500 0.500

***

Computed, not measured: an optimized crystal structure of YCuTe2 at the PBE-GGA level of DFT.

Results
As for the crystal system: trigonal. Its space group is R-3m (166). As for the total energy: -17.16 eV per cell.

Cell lengths 9.387, 9.387, 9.387 Å; angles 23.47, 23.47, 23.47 degrees
Atoms (fractional coordinates):
1 Y 0.000 0.000 0.000
2 Cu 0.500 0.500 0.500
3 Te 0.110 0.110 0.110
4 Te 0.890 0.890 0.890

***

For each record above, in turn, the calculated size of the total moment values are 0.00 0.00 1.40 0.00 0.00 0.00 0.00 0.00 0.00 0.00 0.00 0.00 μB/cell.